DFT (GGA-PBE) results for an optimized crystal structure of Li2HgP.

Geometry as POSCAR:
```
Li2HgP
1.0
8.6628 -0.0399 -0.0235
8.1230 3.0105 -0.0235
8.1230 1.4375 2.6452
P Li Hg
1 2 1
direct
0.2500 0.2500 0.2500
0.5136 0.5136 0.5136
0.9864 0.9864 0.9864
0.7500 0.7500 0.7500
```

Computed properties:
DFT total energy ... -2.642 eV per atom
Fermi-level density of states ... 0.23 states/eV/cell
Symmetry ... R-3m (166)
V ... 17.611 A^3/atom